# 1
Compound: Ti3HPb
Source: Alexandria via LeMat-Bulk
Functional: PBE-GGA
Structure: optimized geometry

Cell lengths 11.303, 11.303, 11.303 Å; angles 156.80, 156.80, 33.04 degrees
Fractional positions:
Ti  0.178  0.178  0.000
Ti  0.366  0.625  0.742
Ti  0.375  0.117  0.742
Ti  0.375  0.634  0.258
Ti  0.822  0.822  0.000
Ti  0.883  0.625  0.258
H  0.645  0.145  0.500
H  0.855  0.355  0.500
Pb  0.250  0.750  0.500
Pb  0.500  0.500  0.000

Properties
- SG = I-4m2 (119)

***

# 2
Compound: TiHPb
Source: Alexandria via LeMat-Bulk
Functional: PBE-GGA
Structure: optimized geometry

Cell lengths 3.354, 3.354, 4.584 Å; angles 90.00, 90.00, 120.00 degrees
Fractional positions:
Ti  0.000  0.000  0.000
H  0.667  0.333  0.000
Pb  0.333  0.667  0.500

Properties
- SG = P-6m2 (187)

***

# 3
Compound: Ti2HPb
Source: Alexandria via LeMat-Bulk
Functional: PBE-GGA
Structure: optimized geometry

Cell lengths 4.965, 4.965, 4.965 Å; angles 144.70, 116.22, 75.05 degrees
Fractional positions:
Ti  0.175  0.175  0.000
Ti  0.825  0.825  0.000
H  0.000  0.500  0.500
Pb  0.500  0.000  0.500

Properties
- SG = Immm (71)

***

# 4
Compound: Ti3HPb
Source: Alexandria via LeMat-Bulk
Functional: PBE-GGA
Structure: optimized geometry

Cell lengths 4.774, 4.774, 8.123 Å; angles 90.00, 90.00, 120.00 degrees
Fractional positions:
Ti  0.000  0.000  0.250
Ti  0.000  0.000  0.750
Ti  0.333  0.667  0.096
Ti  0.333  0.667  0.404
Ti  0.667  0.333  0.596
Ti  0.667  0.333  0.904
H  0.000  0.000  0.000
H  0.000  0.000  0.500
Pb  0.333  0.667  0.750
Pb  0.667  0.333  0.250

Properties
- SG = P6_3/mmc (194)

***

# 5
Compound: TiHPb2
Source: Alexandria via LeMat-Bulk
Functional: PBE-GGA
Structure: optimized geometry

Cell lengths 4.926, 4.926, 4.926 Å; angles 60.00, 60.00, 60.00 degrees
Fractional positions:
Ti  0.000  0.000  0.000
H  0.500  0.500  0.500
Pb  0.250  0.250  0.250
Pb  0.750  0.750  0.750

Properties
- SG = Fm-3m (225)

***

# 6
Compound: Ti3HPb
Source: Alexandria via LeMat-Bulk
Functional: PBE-GGA
Structure: optimized geometry

Cell lengths 7.852, 7.852, 7.852 Å; angles 60.00, 60.00, 60.00 degrees
Fractional positions:
Ti  0.058  0.058  0.692
Ti  0.058  0.692  0.058
Ti  0.058  0.692  0.692
Ti  0.308  0.308  0.942
Ti  0.308  0.942  0.308
Ti  0.308  0.942  0.942
Ti  0.692  0.058  0.058
Ti  0.692  0.058  0.692
Ti  0.692  0.692  0.058
Ti  0.942  0.308  0.308
Ti  0.942  0.308  0.942
Ti  0.942  0.942  0.308
H  0.000  0.000  0.000
H  0.000  0.000  0.500
H  0.000  0.500  0.000
H  0.500  0.000  0.000
Pb  0.000  0.500  0.500
Pb  0.500  0.000  0.500
Pb  0.500  0.500  0.000
Pb  0.500  0.500  0.500

Properties
- SG = Fd-3m (227)

***

# 7
Compound: TiH3Pb
Source: Alexandria via LeMat-Bulk
Functional: PBE-GGA
Structure: optimized geometry

Cell lengths 4.056, 4.056, 4.056 Å; angles 90.00, 90.00, 90.00 degrees
Fractional positions:
Ti  0.000  0.000  0.000
H  0.000  0.500  0.500
H  0.500  0.000  0.500
H  0.500  0.500  0.000
Pb  0.500  0.500  0.500

Properties
- SG = Pm-3m (221)

***

# 8
Compound: Ti3HPb
Source: Alexandria via LeMat-Bulk
Functional: PBE-GGA
Structure: optimized geometry

Cell lengths 5.464, 5.464, 5.424 Å; angles 90.00, 90.00, 80.46 degrees
Fractional positions:
Ti  0.000  0.000  0.000
Ti  0.000  0.000  0.500
Ti  0.128  0.474  0.750
Ti  0.474  0.128  0.250
Ti  0.526  0.872  0.750
Ti  0.872  0.526  0.250
H  0.191  0.809  0.750
H  0.809  0.191  0.250
Pb  0.351  0.649  0.250
Pb  0.649  0.351  0.750

Properties
- SG = Cmcm (63)

***

# 9
Compound: Ti2HPb
Source: Alexandria via LeMat-Bulk
Functional: PBE-GGA
Structure: optimized geometry

Cell lengths 7.188, 7.188, 7.188 Å; angles 25.93, 25.93, 25.93 degrees
Fractional positions:
Ti  0.216  0.216  0.216
Ti  0.784  0.784  0.784
H  0.500  0.500  0.500
Pb  0.000  0.000  0.000

Properties
- SG = R-3m (166)

***

# 10
Compound: Ti3HPb
Source: Alexandria via LeMat-Bulk
Functional: PBE-GGA
Structure: optimized geometry

Cell lengths 5.812, 5.812, 5.812 Å; angles 53.67, 53.67, 53.67 degrees
Fractional positions:
Ti  0.007  0.496  0.496
Ti  0.496  0.007  0.496
Ti  0.496  0.496  0.007
H  0.248  0.248  0.248
Pb  0.501  0.501  0.501

Properties
- SG = R3m (160)

***

# 11
Compound: TiHPb2
Source: Alexandria via LeMat-Bulk
Functional: PBE-GGA
Structure: optimized geometry

Cell lengths 5.880, 5.880, 5.880 Å; angles 109.31, 109.31, 109.80 degrees
Fractional positions:
Ti  0.000  0.000  0.000
Ti  0.750  0.250  0.500
H  0.250  0.750  0.500
H  0.500  0.500  0.000
Pb  0.200  0.625  0.075
Pb  0.375  0.450  0.575
Pb  0.550  0.125  0.925
Pb  0.875  0.800  0.425

Properties
- SG = I-42d (122)

***

# 12
Compound: Ti5HPb4
Source: Alexandria via LeMat-Bulk
Functional: PBE-GGA
Structure: optimized geometry

Cell lengths 6.631, 6.631, 6.631 Å; angles 100.05, 100.05, 130.62 degrees
Fractional positions:
Ti  0.000  0.000  0.000
Ti  0.190  0.290  0.690
Ti  0.290  0.600  0.100
Ti  0.500  0.190  0.900
Ti  0.600  0.500  0.310
H  0.341  0.341  0.000
Pb  0.215  0.952  0.388
Pb  0.563  0.827  0.612
Pb  0.827  0.215  0.264
Pb  0.952  0.563  0.736

Properties
- SG = I4 (79)

***

# 13
Compound: Ti3HPb
Source: Alexandria via LeMat-Bulk
Functional: PBE-GGA
Structure: optimized geometry

Cell lengths 7.648, 7.648, 5.847 Å; angles 103.07, 103.07, 80.75 degrees
Fractional positions:
Ti  0.066  0.470  0.792
Ti  0.102  0.174  0.434
Ti  0.174  0.102  0.934
Ti  0.296  0.403  0.295
Ti  0.403  0.296  0.795
Ti  0.470  0.066  0.292
Ti  0.530  0.934  0.708
Ti  0.597  0.704  0.205
Ti  0.704  0.597  0.705
Ti  0.826  0.898  0.066
Ti  0.898  0.826  0.566
Ti  0.934  0.530  0.208
H  0.083  0.294  0.177
H  0.294  0.083  0.677
H  0.706  0.917  0.323
H  0.917  0.706  0.823
Pb  0.201  0.799  0.250
Pb  0.317  0.683  0.750
Pb  0.683  0.317  0.250
Pb  0.799  0.201  0.750

Properties
- SG = C2/c (15)

***

# 14
Compound: Ti3HPb
Source: Alexandria via LeMat-Bulk
Functional: PBE-GGA
Structure: optimized geometry

Cell lengths 4.753, 5.531, 5.901 Å; angles 99.21, 91.34, 90.09 degrees
Fractional positions:
Ti  0.228  0.360  0.065
Ti  0.235  0.848  0.258
Ti  0.245  0.351  0.551
Ti  0.755  0.649  0.449
Ti  0.765  0.152  0.742
Ti  0.772  0.640  0.935
H  0.492  0.392  0.825
H  0.508  0.608  0.175
Pb  0.262  0.858  0.748
Pb  0.738  0.142  0.252

Properties
- SG = P-1 (2)

***

# 15
Compound: TiH3Pb
Source: Alexandria via LeMat-Bulk
Functional: PBE-GGA
Structure: optimized geometry

Cell lengths 3.778, 3.778, 3.778 Å; angles 90.00, 90.00, 90.00 degrees
Fractional positions:
Ti  0.000  0.000  0.000
H  0.000  0.000  0.500
H  0.000  0.500  0.000
H  0.500  0.000  0.000
Pb  0.500  0.500  0.500

Properties
- SG = Pm-3m (221)

***

# 16
Compound: Ti3HPb
Source: Alexandria via LeMat-Bulk
Functional: PBE-GGA
Structure: optimized geometry

Cell lengths 6.065, 6.065, 6.065 Å; angles 126.60, 98.74, 104.58 degrees
Fractional positions:
Ti  0.000  0.000  0.500
Ti  0.000  0.500  0.000
Ti  0.226  0.126  0.100
Ti  0.474  0.874  0.600
Ti  0.526  0.126  0.400
Ti  0.774  0.874  0.900
H  0.180  0.930  0.250
H  0.820  0.070  0.750
Pb  0.000  0.500  0.500
Pb  0.500  0.500  0.000

Properties
- SG = Imma (74)

***

# 17
Compound: Ti2HPb2
Source: Alexandria via LeMat-Bulk
Functional: PBE-GGA
Structure: optimized geometry

Cell lengths 6.167, 6.167, 4.835 Å; angles 90.00, 90.00, 90.00 degrees
Fractional positions:
Ti  0.156  0.344  0.000
Ti  0.344  0.844  0.000
Ti  0.656  0.156  0.000
Ti  0.844  0.656  0.000
H  0.000  0.000  0.000
H  0.500  0.500  0.000
Pb  0.174  0.674  0.500
Pb  0.326  0.174  0.500
Pb  0.674  0.826  0.500
Pb  0.826  0.326  0.500

Properties
- SG = P4/mbm (127)

***

# 18
Compound: Ti4H2Pb3
Source: Alexandria via LeMat-Bulk
Functional: PBE-GGA
Structure: optimized geometry

Cell lengths 7.563, 7.563, 5.873 Å; angles 102.88, 102.88, 69.39 degrees
Fractional positions:
Ti  0.109  0.629  0.938
Ti  0.247  0.332  0.392
Ti  0.332  0.247  0.892
Ti  0.371  0.891  0.562
Ti  0.629  0.109  0.438
Ti  0.668  0.753  0.108
Ti  0.753  0.668  0.608
Ti  0.891  0.371  0.062
H  0.135  0.406  0.077
H  0.406  0.135  0.577
H  0.594  0.865  0.423
H  0.865  0.594  0.923
Pb  0.023  0.771  0.446
Pb  0.229  0.977  0.054
Pb  0.492  0.508  0.750
Pb  0.508  0.492  0.250
Pb  0.771  0.023  0.946
Pb  0.977  0.229  0.554

Properties
- SG = C2/c (15)

***

# 19
Compound: Ti6HPb2
Source: Alexandria via LeMat-Bulk
Functional: PBE-GGA
Structure: optimized geometry

Cell lengths 5.950, 5.950, 5.950 Å; angles 60.00, 60.00, 60.00 degrees
Fractional positions:
Ti  0.249  0.249  0.751
Ti  0.249  0.751  0.249
Ti  0.249  0.751  0.751
Ti  0.751  0.249  0.249
Ti  0.751  0.249  0.751
Ti  0.751  0.751  0.249
H  0.500  0.500  0.500
Pb  0.250  0.250  0.250
Pb  0.750  0.750  0.750

Properties
- SG = Fm-3m (225)

***

# 20
Compound: Ti2VHPb
Source: Alexandria via LeMat-Bulk
Functional: PBE-GGA
Structure: optimized geometry

Cell lengths 4.333, 4.333, 3.781 Å; angles 90.00, 90.00, 90.00 degrees
Fractional positions:
Ti  0.000  0.500  0.000
Ti  0.500  0.000  0.000
V  0.000  0.000  0.500
H  0.000  0.000  0.000
Pb  0.500  0.500  0.500

Properties
- SG = P4/mmm (123)

***

no.,VASP energy (eV/atom)
1,-5.322
2,-5.125
3,-5.703
4,-6.011
5,-3.964
6,-6.014
7,-3.290
8,-6.237
9,-5.765
10,-5.330
11,-4.252
12,-5.597
13,-6.199
14,-6.330
15,-4.265
16,-6.087
17,-5.164
18,-5.567
19,-6.588
20,-6.507